(1)
The following is a DFT calculation (GGA-PBE) of an optimized crystal structure of Fe9Ni11Rh4.

```
Fe9Ni11Rh4
1.0
-2.312 0.750 0.856
-2.518 -10.481 2.380
4.826 5.295 8.398
Fe Ni Rh
9 11 4
direct
0.500 0.202 0.007 Fe
0.500 0.830 0.395 Fe
0.500 0.395 0.830 Fe
0.500 0.993 0.798 Fe
0.500 0.798 0.993 Fe
0.500 0.170 0.605 Fe
0.500 0.605 0.170 Fe
0.500 0.007 0.202 Fe
0.500 0.500 0.500 Fe
0.000 0.808 0.192 Ni
0.000 0.401 0.028 Ni
0.000 0.192 0.808 Ni
0.000 0.804 0.804 Ni
0.000 0.028 0.401 Ni
0.000 0.376 0.624 Ni
0.000 0.972 0.599 Ni
0.000 0.000 0.000 Ni
0.000 0.599 0.972 Ni
0.000 0.196 0.196 Ni
0.000 0.624 0.376 Ni
0.500 0.242 0.409 Rh
0.500 0.409 0.242 Rh
0.500 0.591 0.758 Rh
0.500 0.758 0.591 Rh
```

Calculated values
- Energy of formation: 0.20 eV/f.u.

(2)
The following is a DFT calculation (GGA-PBE) of an optimized crystal structure of BTe2Rh.

```
BTe2Rh
1.0
-0.049 -5.715 -1.150
4.301 0.741 -3.865
5.598 -3.264 1.207
Te Rh B
4 2 2
direct
0.875 0.838 0.750 Te
0.375 0.412 0.750 Te
0.162 0.625 0.250 Te
0.588 0.125 0.250 Te
0.750 0.250 0.500 Rh
0.000 0.000 0.000 Rh
0.250 0.750 0.500 B
0.500 0.500 0.000 B
```

Calculated values
- Raw total energy: -4.8380 eV/atom

One value per record, in order, for M_tot: 35.35, 0.00 μB per cell.